Arrangement i

! GeP2Pb, relaxed, DFT PBE; values from VASP
! - Mass density: 6833 kg/m³
! - Crystal system: trigonal
&SYSTEM
  ibrav = 0, nat = 4, ntyp = 3
/
ATOMIC_SPECIES
Pb 207.20 Pb.upf
P 30.97 P.upf
Ge 72.64 Ge.upf
CELL_PARAMETERS angstrom
3.827 0.000 0.000
1.913 3.314 0.000
1.913 1.105 6.549
ATOMIC_POSITIONS angstrom
Pb 3.827 2.209 3.275
P 1.913 1.105 1.357
P 5.740 3.314 5.192
Ge 0.000 0.000 0.000


Arrangement ii

! GeP2Pb, relaxed, DFT PBE; values from VASP
! - Mass density: 5834 kg/m³
! - Crystal system: tetragonal
&SYSTEM
  ibrav = 0, nat = 8, ntyp = 3
/
ATOMIC_SPECIES
Pb 207.20 Pb.upf
P 30.97 P.upf
Ge 72.64 Ge.upf
CELL_PARAMETERS angstrom
6.827 0.000 0.000
0.000 6.827 0.000
3.413 3.413 4.174
ATOMIC_POSITIONS angstrom
Pb 0.000 0.000 0.000
Pb 6.827 3.413 2.087
P 4.635 1.707 1.044
P 2.192 5.120 1.044
P 5.120 5.605 3.131
P 8.534 8.049 3.131
Ge 3.413 3.413 0.000
Ge 3.413 6.827 2.087


Arrangement iii

! GeP2Pb, relaxed, DFT PBE; values from VASP
! - Mass density: 7028 kg/m³
! - Crystal system: cubic
&SYSTEM
  ibrav = 0, nat = 4, ntyp = 3
/
ATOMIC_SPECIES
Pb 207.20 Pb.upf
P 30.97 P.upf
Ge 72.64 Ge.upf
CELL_PARAMETERS angstrom
-1.770 -0.164 4.514
-4.016 2.480 1.122
-4.140 -2.365 0.898
ATOMIC_POSITIONS angstrom
Pb -4.963 -0.024 3.267
P -2.482 -0.012 1.634
P -7.445 -0.036 4.901
Ge 0.000 0.000 0.000


Which structure is most stable? arrangement ii, by 56 meV/atom over the runner-up.